1.
A plane-wave DFT calculation with PBE was carried out for crystalline La2TlCoCu at its relaxed geometry.

## Properties
offset from the most stable computed form	0	meV per atom
M_tot	0.0	μB per cell
calculated formation energy	-94	meV/atom
E_tot	-4.779	eV/atom

CIF file:
```
data_La2TlCoCu
_symmetry_space_group_name_H-M 'P 4/m m m'
_symmetry_Int_Tables_number 123
_symmetry_space_group_name_Hall '-P 4 2'
_cell_length_a 5.219
_cell_length_b 5.219
_cell_length_c 4.740
_cell_angle_alpha 90.00
_cell_angle_beta 90.00
_cell_angle_gamma 90.00
loop_
_atom_site_label
_atom_site_type_symbol
_atom_site_fract_x
_atom_site_fract_y
_atom_site_fract_z
_atom_site_occupancy
La1 La 0.000 0.500 0.000 1
Tl1 Tl 0.000 0.000 0.500 1
Co1 Co 0.500 0.500 0.000 1
Cu1 Cu 0.500 0.500 0.500 1
```

=====

2.
A plane-wave DFT calculation with PBE was carried out for crystalline NaGd2Th at its relaxed geometry.

## Properties
offset from the most stable computed form	0	meV per atom
M_tot	14.5	μB per cell
calculated formation energy	88	meV/atom
E_tot	-9.138	eV/atom

CIF file:
```
data_NaGd2Th
_symmetry_space_group_name_H-M 'P 4/m m m'
_symmetry_Int_Tables_number 123
_symmetry_space_group_name_Hall '-P 4 2'
_cell_length_a 3.585
_cell_length_b 3.585
_cell_length_c 10.468
_cell_angle_alpha 90.00
_cell_angle_beta 90.00
_cell_angle_gamma 90.00
loop_
_atom_site_label
_atom_site_type_symbol
_atom_site_fract_x
_atom_site_fract_y
_atom_site_fract_z
_atom_site_occupancy
Na1 Na 0.000 0.000 0.000 1
Gd1 Gd 0.500 0.500 0.275 1
Th1 Th 0.000 0.000 0.500 1
```